[1]
First-principles (PBE) data for a geometry-optimized HfZrMoPd structure, as listed in Alexandria.

The calculation puts the formation energy at -0.441 eV/atom. The density of states at the Fermi level is 0.630 states/eV/atom.

Unit cell a=3.345 b=3.345 c=6.633 alpha=90.00 beta=90.00 gamma=90.00
Atoms (fractional coordinates):
Mo 0.000 0.000 0.360
Pd 0.000 0.000 0.852
Hf 0.500 0.500 0.598
Zr 0.500 0.500 0.118

=====

[2]
First-principles (PBE) data for a geometry-optimized PmHfMo structure, as listed in Alexandria.

The calculation puts the formation energy at 0.477 eV/atom. The density of states at the Fermi level is 0.713 states/eV/atom.

Unit cell a=4.715 b=4.715 c=8.398 alpha=73.70 beta=73.70 gamma=60.00
Atoms (fractional coordinates):
Pm 0.884 0.884 0.348
Pm 0.116 0.116 0.652
Mo 0.257 0.257 0.229
Mo 0.743 0.743 0.771
Hf 0.633 0.633 0.100
Hf 0.367 0.367 0.900

=====

[3]
First-principles (PBE) data for a geometry-optimized PrHf2Mo structure, as listed in Alexandria.

As for the energy relative to the lowest polymorph listed for this composition: 292 meV/atom. The calculation puts the formation energy at 0.357 eV/atom. The density of states at the Fermi level is 1.359 states/eV/atom.

Unit cell a=3.247 b=3.247 c=10.733 alpha=81.30 beta=81.30 gamma=60.00
Atoms (fractional coordinates):
Mo 0.500 0.500 0.500
Hf 0.897 0.897 0.308
Pr 0.000 0.000 0.000
Hf 0.103 0.103 0.692